Record 1
## NaH3Au (meta-GGA SCAN)

Data for a PBEsol-optimized structure of NaH3Au.

- crystal system = triclinic
- calculated volume (Å³ per atom) = 13.013
- total magnetic moment (μB per formula unit) = 0.00
- energy (eV for the cell shown) = -169.28
- DOS at the Fermi energy (states/eV per atom) = 0.0000
- ΔE to the lowest computed polymorph (meV per atom) = 0

Lattice parameters (Å, degrees): 3.4987 5.5748 7.4383 101.54 102.01 107.21
With the nearest neighbours (Å) after each atom.
Space group P1 (No. 1)
Asymmetric unit:
Na (0.0000, 0.0000, 0.0000)  6 H 2.14-2.29
Na (0.0095, 0.5094, 0.5017)  4 H 2.37-2.43
H (0.0712, 0.0483, 0.5459)  1 H 0.79
H (0.3249, 0.3456, 0.2707)  1 Au 1.65
H (0.4901, 0.8738, 0.1232)  1 Au 1.63
H (0.4996, 0.1129, 0.8649)  1 Au 1.63
H (0.6841, 0.6522, 0.7309)  1 Au 1.65
H (0.9017, 0.9526, 0.4500)  1 H 0.79
Au (0.3978, 0.6006, 0.1833)  2 H 1.63-1.65
Au (0.6021, 0.3917, 0.8122)  2 H 1.63-1.65


Record 2
## NaH3Au (meta-GGA SCAN)

Data for a PBEsol-optimized structure of NaH3Au.

- crystal system = cubic
- calculated volume (Å³ per atom) = 10.161
- total magnetic moment (μB per formula unit) = 0.00
- energy (eV for the cell shown) = -84.58
- DOS at the Fermi energy (states/eV per atom) = 0.2730
- ΔE to the lowest computed polymorph (meV per atom) = 13

Lattice parameters (Å, degrees): 3.7037 3.7037 3.7037 90.00 90.00 90.00
With the nearest neighbours (Å) after each atom.
Space group Pm-3m (No. 221)
Asymmetric unit:
Na (0.0000, 0.0000, 0.0000)  12 H 2.62
H (0.0000, 0.5000, 0.5000)  2 Au 1.85
Au (0.5000, 0.5000, 0.5000)  6 H 1.85


Record 3
## Na2HAu (meta-GGA SCAN)

Data for a PBEsol-optimized structure of Na2HAu.

- crystal system = tetragonal
- calculated volume (Å³ per atom) = 19.744
- total magnetic moment (μB per formula unit) = 0.00
- energy (eV for the cell shown) = -327.47

Lattice parameters (Å, degrees): 6.6166 6.6166 7.2159 90.00 90.00 90.00
With the nearest neighbours (Å) after each atom.
Space group I-42d (No. 122)
Asymmetric unit:
Na (0.1582, 0.7500, 0.1250)  2 H 2.16
H (0.0000, 0.0000, 0.0000)  4 Na 2.16
Au (0.0000, 0.0000, 0.5000)  4 Na 2.94


Record 4
## Ni2HAu (meta-GGA SCAN)

Data for a PBEsol-optimized structure of Ni2HAu.

- crystal system = cubic
- calculated volume (Å³ per atom) = 11.421
- total magnetic moment (μB per formula unit) = 0.00
- energy (eV for the cell shown) = -408.96
- DOS at the Fermi energy (states/eV per atom) = 0.9757

Lattice parameters (Å, degrees): 5.6746 5.6746 5.6746 90.00 90.00 90.00
With the nearest neighbours (Å) after each atom.
Space group Fm-3m (No. 225)
Asymmetric unit:
Ni (0.2500, 0.2500, 0.2500)  4 H 2.46, 4 Au 2.46
H (0.0000, 0.0000, 0.0000)  8 Ni 2.46
Au (0.0000, 0.0000, 0.5000)  8 Ni 2.46


Record 5
## H2AuO (meta-GGA SCAN)

Data for a PBEsol-optimized structure of H2AuO.

- crystal system = cubic
- calculated volume (Å³ per atom) = 7.740
- total magnetic moment (μB per formula unit) = 0.00
- energy (eV for the cell shown) = -312.50
- DOS at the Fermi energy (states/eV per atom) = 0.2060

Lattice parameters (Å, degrees): 4.9844 4.9844 4.9844 90.00 90.00 90.00
With the nearest neighbours (Å) after each atom.
Space group Fm-3m (No. 225)
Asymmetric unit:
H (0.2500, 0.2500, 0.2500)  4 O 2.16, 4 Au 2.16
Au (0.0000, 0.0000, 0.0000)  8 H 2.16
O (0.0000, 0.0000, 0.5000)  8 H 2.16


Record 6
## HAu2O (meta-GGA SCAN)

Data for a PBEsol-optimized structure of HAu2O.

- crystal system = tetragonal
- calculated volume (Å³ per atom) = 12.612
- total magnetic moment (μB per formula unit) = 0.00
- energy (eV for the cell shown) = -586.54
- DOS at the Fermi energy (states/eV per atom) = 0.7093

Lattice parameters (Å, degrees): 4.6595 4.6595 9.2949 90.00 90.00 90.00
With the nearest neighbours (Å) after each atom.
Space group I-42d (No. 122)
Asymmetric unit:
H (0.0000, 0.0000, 0.0000)  4 Au 1.86
Au (0.1846, 0.2500, 0.1250)  2 H 1.86
O (0.0000, 0.0000, 0.5000)  4 Au 2.21


Record 7
## HOs2Au (meta-GGA SCAN)

Data for a PBEsol-optimized structure of HOs2Au.

- crystal system = cubic
- calculated volume (Å³ per atom) = 12.968
- total magnetic moment (μB per formula unit) = 0.00
- energy (eV for the cell shown) = -843.32
- DOS at the Fermi energy (states/eV per atom) = 0.5188

Lattice parameters (Å, degrees): 5.9201 5.9201 5.9201 90.00 90.00 90.00
With the nearest neighbours (Å) after each atom.
Space group Fm-3m (No. 225)
Asymmetric unit:
H (0.0000, 0.0000, 0.0000)  8 Os 2.56
Os (0.2500, 0.2500, 0.2500)  4 H 2.56, 4 Au 2.56
Au (0.0000, 0.0000, 0.5000)  8 Os 2.56


Record 8
## SiH2OsAu (meta-GGA SCAN)

Data for a PBEsol-optimized structure of SiH2OsAu.

- crystal system = tetragonal
- calculated volume (Å³ per atom) = 11.737
- total magnetic moment (μB per formula unit) = 0.00
- energy (eV for the cell shown) = -155.59
- DOS at the Fermi energy (states/eV per atom) = 0.3121

Lattice parameters (Å, degrees): 3.5319 3.5319 4.7044 90.00 90.00 90.00
With the nearest neighbours (Å) after each atom.
Space group P4/mmm (No. 123)
Asymmetric unit:
Si (0.0000, 0.0000, 0.0000)  2 Os 2.35, 4 Au 2.50
H (0.0000, 0.5000, 0.5000)  2 Os 1.77
Os (0.0000, 0.0000, 0.5000)  4 H 1.77
Au (0.5000, 0.5000, 0.0000)  4 Si 2.50